An optimized crystal structure of Li7Mn2Co3O12, computed with PBE+U.

CIF file:
```
data_Li7Mn2Co3O12
_cell_length_a 15.1080
_cell_length_b 2.8753
_cell_length_c 10.1601
_cell_angle_alpha 90.00
_cell_angle_beta 109.07
_cell_angle_gamma 90.00
_symmetry_space_group_name_H-M 'C 1 m 1'
_symmetry_Int_Tables_number 8
_symmetry_space_group_name_Hall 'C -2y'
loop_
_atom_site_label
_atom_site_type_symbol
_atom_site_fract_x
_atom_site_fract_y
_atom_site_fract_z
Li1 Li 0.0000 0.0000 0.0000
Li2 Li 0.0025 0.0000 0.4640
Li3 Li 0.0040 0.5000 0.2384
Li4 Li 0.1704 0.5000 0.4805
Li5 Li 0.1727 0.5000 0.9935
Li6 Li 0.3408 0.0000 0.0027
Li7 Li 0.3475 0.0000 0.4910
Mn1 Mn 0.1703 0.0000 0.2421
Mn2 Mn 0.1733 0.0000 0.7388
Co1 Co 0.0085 0.5000 0.7356
Co2 Co 0.3418 0.5000 0.2367
Co3 Co 0.3446 0.5000 0.7403
O1 O 0.0869 0.0000 0.8443
O2 O 0.0967 0.5000 0.6286
O3 O 0.0984 0.0000 0.3569
O4 O 0.1002 0.5000 0.1266
O5 O 0.2444 0.5000 0.8534
O6 O 0.2534 0.5000 0.3472
O7 O 0.2566 0.0000 0.6300
O8 O 0.2601 0.0000 0.1320
O9 O 0.4116 0.0000 0.3470
O10 O 0.4131 0.5000 0.1191
O11 O 0.4294 0.0000 0.8485
O12 O 0.4366 0.5000 0.6235
```

Results
distance to the lowest polymorph of the same formula	39	meV per atom
calculated total energy	-5.858	eV per atom
crystal system	monoclinic